Here is AcSn3Pb3 after structural relaxation from Alexandria. Energies are from PBE-GGA.

## Properties
final energy: -4.03 eV/atom
total magnetic moment: 0.00 μB/cell
Fermi-level density of states: 6.47 states/eV/cell

abc: 7.042 7.042 9.319
angles: 91.17 91.17 94.92
Fractional positions:
Pb (0.740, 0.740, 0.436)
Pb (0.260, 0.260, 0.564)
Pb (0.739, 0.261, 0.500)
Pb (0.746, 0.254, 0.000)
Pb (0.254, 0.746, 0.000)
Pb (0.261, 0.739, 0.500)
Sn (0.958, 0.958, 0.721)
Sn (0.513, 0.975, 0.746)
Sn (0.487, 0.025, 0.254)
Sn (0.025, 0.487, 0.254)
Sn (0.042, 0.042, 0.279)
Sn (0.975, 0.513, 0.746)
Ac (0.250, 0.250, 0.978)
Ac (0.750, 0.750, 0.022)


Here is Ac3SnPb2 after structural relaxation from Alexandria. Energies are from PBE-GGA.

## Properties
final energy: -4.47 eV/atom
total magnetic moment: 0.00 μB/cell
Fermi-level density of states: 21.22 states/eV/cell

abc: 4.955 13.143 13.789
angles: 90.00 90.00 90.00
Fractional positions:
Ac (0.250, 0.702, 0.224)
Ac (0.750, 0.202, 0.276)
Ac (0.250, 0.798, 0.724)
Ac (0.750, 0.558, 0.621)
Ac (0.750, 0.942, 0.121)
Ac (0.750, 0.619, 0.951)
Ac (0.250, 0.381, 0.049)
Ac (0.250, 0.442, 0.379)
Ac (0.250, 0.119, 0.549)
Ac (0.750, 0.298, 0.776)
Ac (0.750, 0.881, 0.451)
Ac (0.250, 0.058, 0.879)
Pb (0.250, 0.800, 0.001)
Pb (0.750, 0.200, 0.999)
Pb (0.250, 0.517, 0.812)
Pb (0.250, 0.700, 0.501)
Pb (0.750, 0.483, 0.188)
Pb (0.750, 0.017, 0.688)
Pb (0.750, 0.300, 0.499)
Pb (0.250, 0.983, 0.312)
Sn (0.250, 0.127, 0.126)
Sn (0.250, 0.373, 0.626)
Sn (0.750, 0.873, 0.874)
Sn (0.750, 0.627, 0.374)


Here is Ac4Sn3Pb after structural relaxation from Alexandria. Energies are from PBE-GGA.

## Properties
final energy: -4.68 eV/atom
total magnetic moment: 0.00 μB/cell
Fermi-level density of states: 8.07 states/eV/cell

abc: 5.017 4.618 12.449
angles: 90.00 90.00 90.00
Fractional positions:
Sn (0.000, 0.500, 0.584)
Sn (0.000, 0.000, 0.416)
Sn (0.500, 0.000, 0.913)
Pb (0.500, 0.500, 0.087)
Ac (0.000, 0.500, 0.861)
Ac (0.000, 0.000, 0.138)
Ac (0.500, 0.000, 0.637)
Ac (0.500, 0.500, 0.366)


Here is Ac7SnPb2 after structural relaxation from Alexandria. Energies are from PBE-GGA.

## Properties
final energy: -3.60 eV/atom
total magnetic moment: 0.00 μB/cell
Fermi-level density of states: 10.01 states/eV/cell

abc: 8.829 8.829 8.829
angles: 60.00 60.00 60.00
Fractional positions:
Pb (0.250, 0.250, 0.250)
Pb (0.750, 0.750, 0.750)
Sn (0.000, 0.000, 0.000)
Ac (0.248, 0.752, 0.752)
Ac (0.752, 0.248, 0.248)
Ac (0.500, 0.500, 0.500)
Ac (0.248, 0.248, 0.752)
Ac (0.752, 0.752, 0.248)
Ac (0.752, 0.248, 0.752)
Ac (0.248, 0.752, 0.248)


Here is Ac7SnPb3 after structural relaxation from Alexandria. Energies are from PBE-GGA.

## Properties
final energy: -4.30 eV/atom
total magnetic moment: 0.00 μB/cell
Fermi-level density of states: 11.26 states/eV/cell

abc: 6.485 8.823 8.823
angles: 91.71 111.52 111.52
Fractional positions:
Sn (0.500, 0.500, 0.500)
Ac (0.000, 0.500, 0.500)
Ac (0.666, 0.401, 0.931)
Ac (0.334, 0.069, 0.599)
Ac (0.824, 0.825, 0.825)
Ac (0.666, 0.931, 0.401)
Ac (0.334, 0.599, 0.069)
Ac (0.176, 0.175, 0.175)
Pb (0.500, 0.000, 0.000)
Pb (0.000, 0.767, 0.233)
Pb (0.000, 0.233, 0.767)


Here is Ac5SnPb4 after structural relaxation from Alexandria. Energies are from PBE-GGA.

## Properties
final energy: -4.46 eV/atom
total magnetic moment: 0.00 μB/cell
Fermi-level density of states: 6.69 states/eV/cell

abc: 3.865 3.865 23.544
angles: 90.00 90.00 90.00
Fractional positions:
Ac (0.500, 0.500, 0.500)
Ac (0.500, 0.500, 0.904)
Ac (0.500, 0.500, 0.702)
Ac (0.500, 0.500, 0.298)
Ac (0.500, 0.500, 0.096)
Pb (0.000, 0.000, 0.198)
Pb (0.000, 0.000, 0.802)
Pb (0.000, 0.000, 0.601)
Pb (0.000, 0.000, 0.399)
Sn (0.000, 0.000, 0.000)


Which energy of formation belongs to each record? In order, -95.0, -296.1, -514.2, 404.2, -325.6, -500.9 kJ/mol of formula units.